(1)
{"formula": "NdAl2SiPd4", "functional": "PBE", "state": "relaxed", "cell": [[2.147, 1.240, 8.781], [-2.147, 1.240, 8.781], [0.000, -2.479, 8.781]], "species": ["Nd", "Al", "Al", "Si", "Pd", "Pd", "Pd", "Pd"], "fractional_positions": [[0.000, 0.000, 0.000], [0.242, 0.242, 0.242], [0.758, 0.758, 0.758], [0.500, 0.500, 0.500], [0.138, 0.138, 0.138], [0.408, 0.408, 0.408], [0.592, 0.592, 0.592], [0.862, 0.862, 0.862]], "rho_g_cm3": 7.72, "energy_ev_per_cell": -44.5, "magmom_total_mub_per_fu": 0.00, "raw_formation_energy_ev_per_atom": -0.761}

***

(2)
{"formula": "Pm12Er7Tm", "functional": "PBE", "state": "relaxed", "cell": [[6.427, 3.711, 4.701], [-6.427, 3.711, 4.701], [0.000, -7.422, 4.701]], "species": ["Pm", "Pm", "Pm", "Pm", "Pm", "Pm", "Pm", "Pm", "Pm", "Pm", "Pm", "Pm", "Er", "Er", "Er", "Er", "Er", "Er", "Er", "Tm"], "fractional_positions": [[0.144, 0.473, 0.407], [0.186, 0.321, 0.752], [0.248, 0.814, 0.679], [0.321, 0.752, 0.186], [0.407, 0.144, 0.473], [0.473, 0.407, 0.144], [0.527, 0.593, 0.856], [0.593, 0.856, 0.527], [0.679, 0.248, 0.814], [0.752, 0.186, 0.321], [0.814, 0.679, 0.248], [0.856, 0.527, 0.593], [0.012, 0.344, 0.079], [0.079, 0.012, 0.344], [0.344, 0.079, 0.012], [0.500, 0.500, 0.500], [0.656, 0.921, 0.988], [0.921, 0.988, 0.656], [0.988, 0.656, 0.921], [0.000, 0.000, 0.000]], "rho_g_cm3": 7.60, "energy_ev_per_cell": -87.8, "e_form_kj_per_mol_fu": 539, "e_above_lowest_polymorph_ev_per_atom": 0.0402, "magmom_total_mub_per_fu": 0.00}